The following is a DFT calculation (SCAN) of LiFeTc2 at its PBEsol-relaxed geometry. Values from VASP.

SG = Pmmm (47)
energy of formation from the pure elements = 24.9 kJ per mole of atoms
distance to the lowest polymorph of the same formula = 59 meV/atom
total energy = -22.40 eV per atom

The structure in Quantum ESPRESSO input format:
```
&SYSTEM
  ibrav = 0, nat = 4, ntyp = 3
/
ATOMIC_SPECIES
Tc 98.00 Tc.upf
Fe 55.84 Fe.upf
Li 6.94 Li.upf
CELL_PARAMETERS angstrom
-1.1622 -2.2331 -0.4532
-0.2797 -0.6192 3.7679
-4.4146 2.2876 0.0482
ATOMIC_POSITIONS crystal
Tc 0.0000 0.0000 0.7478
Fe 0.5000 0.5000 0.0000
Li 0.5000 0.5000 0.5000
Tc 0.0000 0.0000 0.2522
```

***

The following is a DFT calculation (SCAN) of LiFeTc2 at its PBEsol-relaxed geometry. Values from VASP.

SG = Imm2 (44)
energy of formation from the pure elements = 21.4 kJ per mole of atoms
distance to the lowest polymorph of the same formula = 24 meV/atom
total energy = -22.44 eV per atom

The structure in Quantum ESPRESSO input format:
```
&SYSTEM
  ibrav = 0, nat = 4, ntyp = 3
/
ATOMIC_SPECIES
Tc 98.00 Tc.upf
Fe 55.84 Fe.upf
Li 6.94 Li.upf
CELL_PARAMETERS angstrom
-1.7502 1.4749 1.9747
2.6129 -0.9750 3.0442
1.6120 3.0904 -3.1933
ATOMIC_POSITIONS crystal
Tc 0.0072 0.0072 0.0145
Fe 0.4957 0.4957 0.9914
Li 0.2429 0.7429 0.4858
Tc 0.7542 0.2542 0.5083
```

***

The following is a DFT calculation (SCAN) of LiFe2Tc at its PBEsol-relaxed geometry. Values from VASP.

SG = Cm (8)
energy of formation from the pure elements = 30.9 kJ per mole of atoms
total energy = -18.11 eV per atom

The structure in Quantum ESPRESSO input format:
```
&SYSTEM
  ibrav = 0, nat = 4, ntyp = 3
/
ATOMIC_SPECIES
Fe 55.84 Fe.upf
Li 6.94 Li.upf
Tc 98.00 Tc.upf
CELL_PARAMETERS angstrom
2.5114 0.0000 0.0000
-1.2557 4.5105 -0.2624
0.0000 -0.9871 4.1913
ATOMIC_POSITIONS crystal
Fe 0.9814 0.9627 0.0165
Li 0.5133 0.0265 0.5405
Fe 0.2753 0.5507 0.7334
Tc 0.7300 0.4600 0.2096
```